A plane-wave DFT calculation with PBE was carried out for an optimized crystal structure of YB2Os2.

Properties
As for the total energy: -0.325 hartree per atom. The calculation puts the total magnetization at 0.01 μB per cell.

Cell: 3.9740 3.9740 9.4733 Å, 90.00 90.00 90.00°
Closest atoms and distances in Å follow each position.
Space group I4/mmm (No. 139)
Inequivalent atoms, fractional coordinates:
Y  0.0000  0.0000  0.0000 (multiplicity 2)  8 Os 3.09, 10 B 3.14-3.23
B  0.0000  0.0000  0.3313 (multiplicity 4)  4 Os 2.13
Os  0.0000  0.5000  0.2500 (multiplicity 4)  4 B 2.13